Here is a geometry-optimized CeTaVO6 structure from the Alexandria database. Energies are from PBE with a Hubbard U.

```
CeTaVO6
1.0
4.8702 0.0000 0.0000
0.0000 4.8702 0.0000
0.0000 0.0000 9.7985
Ce Ta V O
2 2 2 12
direct
0.0000 0.0000 0.0000
0.5000 0.5000 0.5000
0.0000 0.0000 0.3357
0.5000 0.5000 0.8357
0.0000 0.0000 0.6718
0.5000 0.5000 0.1718
0.1792 0.1792 0.5013
0.2017 0.2017 0.1909
0.2087 0.2087 0.8240
0.2913 0.7087 0.3240
0.2983 0.7017 0.6909
0.3208 0.6792 0.0013
0.6792 0.3208 0.0013
0.7017 0.2983 0.6909
0.7087 0.2913 0.3240
0.7913 0.7913 0.8240
0.7983 0.7983 0.1909
0.8208 0.8208 0.5013
```

- Total DFT energy (no corrections): -8.8964 eV per atom